No. 1
A geometry-optimized BeZnBr2 structure, computed with GGA-PBE.

Geometry as extended XYZ:
```
4
Lattice="5.016 0.000 0.000 2.508 4.344 0.000 2.508 1.448 4.095" Properties=species:S:1:pos:R:3 pbc="T T T"
Be 5.016 2.896 2.048
Zn 7.524 4.344 3.072
Br 0.000 0.000 0.000
Br 2.508 1.448 1.024
```

Values from the calculation:
total DFT energy (no corrections)	-5.4	eV/f.u.
total magnetization	0.00	μB per formula unit
E_form (uncorrected)	728	meV per atom


No. 2
A geometry-optimized SnGeTe3 structure, computed with GGA-PBE.

Geometry as extended XYZ:
```
10
Lattice="-2.484 4.254 0.131 -0.386 -0.052 -5.649 -10.424 -6.286 6.501" Properties=species:S:1:pos:R:3 pbc="T T T"
Sn -1.953 0.280 0.235
Sn -11.341 -2.363 0.748
Ge -6.911 -2.709 3.283
Ge -6.383 0.625 -2.299
Te -10.585 -4.896 4.668
Te -2.709 2.813 -3.684
Te -4.866 -1.473 1.930
Te -8.428 -0.610 -0.947
Te -8.605 -3.642 1.450
Te -4.689 1.558 -0.467
```

Values from the calculation:
total DFT energy (no corrections)	-18.2	eV/f.u.
total magnetization	0.00	μB per formula unit
E_form (uncorrected)	-31	meV per atom


No. 3
A geometry-optimized BaCuRh2 structure, computed with GGA-PBE.

Geometry as extended XYZ:
```
4
Lattice="-4.918 -2.861 1.197 -2.778 -2.623 -4.383 4.785 0.451 3.272" Properties=species:S:1:pos:R:3 pbc="T T T"
Ba -3.843 -2.738 -1.591
Cu -0.643 -2.260 -1.237
Rh -0.023 -0.016 -0.009
Rh -2.250 -2.760 1.331
```

Values from the calculation:
total DFT energy (no corrections)	-19.0	eV/f.u.
energy of formation from the pure elements	0.419	eV per atom
total magnetization	0.01	μB per formula unit


No. 4
A geometry-optimized TaCdAu2 structure, computed with GGA-PBE.

Geometry as extended XYZ:
```
4
Lattice="-0.418 4.320 -2.146 -0.991 2.330 -4.127 -5.632 0.701 0.923" Properties=species:S:1:pos:R:3 pbc="T T T"
Cd -5.281 5.513 -4.012
Au -1.508 6.642 -6.237
Au -3.422 3.683 -2.711
Ta -1.760 1.838 -1.337
```

Values from the calculation:
total DFT energy (no corrections)	-19.0	eV/f.u.
energy of formation from the pure elements	0.075	eV per atom
total magnetization	0.00	μB per formula unit


No. 5
A geometry-optimized La3TmZn4 structure, computed with GGA-PBE.

Geometry as extended XYZ:
```
8
Lattice="-1.965 1.502 2.734 -3.116 -1.107 -1.631 0.632 -12.855 7.516" Properties=species:S:1:pos:R:3 pbc="T T T"
Zn 0.565 -11.491 6.718
Zn 0.067 -1.364 0.797
Zn 0.235 -4.791 2.801
Zn 0.396 -8.063 4.714
Tm -2.540 0.198 0.552
La -2.388 -2.905 2.366
La -2.225 -6.230 4.310
La -2.061 -9.554 6.253
```

Values from the calculation:
total DFT energy (no corrections)	-26.8	eV/f.u.
energy of formation from the pure elements	-0.311	eV per atom
total magnetization	0.00	μB per formula unit


No. 6
A geometry-optimized InNiAg structure, computed with GGA-PBE.

Geometry as extended XYZ:
```
3
Lattice="-2.992 -1.066 -0.593 0.610 -2.661 1.726 -2.770 0.336 4.530" Properties=species:S:1:pos:R:3 pbc="T T T"
In -4.379 -0.847 2.072
Ni -2.125 -2.278 2.092
Ag -3.188 -0.799 4.759
```

Values from the calculation:
total DFT energy (no corrections)	-11.2	eV/f.u.
energy of formation from the pure elements	0.055	eV per atom
total magnetization	0.00	μB per formula unit


No. 7
A geometry-optimized KCr2As structure, computed with GGA-PBE.

Geometry as extended XYZ:
```
4
Lattice="-3.988 3.327 1.602 -4.321 -3.050 1.254 5.185 -0.357 1.592" Properties=species:S:1:pos:R:3 pbc="T T T"
As -1.479 1.554 2.310
Cr 0.000 0.000 0.000
Cr -1.645 -1.634 2.137
K -4.154 0.139 1.428
```

Values from the calculation:
total DFT energy (no corrections)	-21.5	eV/f.u.
energy of formation from the pure elements	0.867	eV per atom
total magnetization	9.49	μB per formula unit


No. 8
A geometry-optimized Nd3MgS structure, computed with GGA-PBE.

Geometry as extended XYZ:
```
5
Lattice="-1.776 -1.301 4.982 3.763 -3.925 0.316 3.515 3.544 2.179" Properties=species:S:1:pos:R:3 pbc="T T T"
S 0.000 0.000 0.000
Nd 1.881 -1.963 0.158
Nd 1.758 1.772 1.089
Nd -0.888 -0.651 2.491
Mg 2.751 -0.841 3.738
```

Values from the calculation:
total DFT energy (no corrections)	-23.6	eV/f.u.
total magnetization	0.00	μB per formula unit
E_form (uncorrected)	-714	meV per atom


No. 9
A geometry-optimized KCrBr structure, computed with GGA-PBE.

Geometry as extended XYZ:
```
3
Lattice="-2.520 2.242 -3.677 -2.469 -2.302 3.674 -0.048 3.911 2.418" Properties=species:S:1:pos:R:3 pbc="T T T"
Br -0.008 0.645 0.399
Cr -2.511 1.384 -0.821
K -2.518 1.822 2.837
```

Values from the calculation:
total DFT energy (no corrections)	-12.2	eV/f.u.
total magnetization	5.60	μB per formula unit
E_form (uncorrected)	61	meV per atom


No. 10
A geometry-optimized PtBrCl2 structure, computed with GGA-PBE.

Geometry as extended XYZ:
```
4
Lattice="8.097 -0.060 -0.036 7.261 3.584 -0.036 7.261 1.666 3.173" Properties=species:S:1:pos:R:3 pbc="T T T"
Br 16.965 3.893 2.326
Pt 5.655 1.298 0.775
Cl 21.989 5.045 3.015
Cl 11.941 2.740 1.637
```

Values from the calculation:
total DFT energy (no corrections)	-10.7	eV/f.u.
total magnetization	1.10	μB per formula unit
E_form (uncorrected)	169	meV per atom


No. 11
A geometry-optimized Zr2FeRe structure, computed with GGA-PBE.

Geometry as extended XYZ:
```
4
Lattice="3.273 0.000 0.000 0.000 3.273 0.000 0.000 0.000 6.467" Properties=species:S:1:pos:R:3 pbc="T T T"
Re 1.637 1.637 4.850
Fe 1.637 1.637 1.617
Zr 0.000 0.000 0.028
Zr 0.000 0.000 3.206
```

Values from the calculation:
total DFT energy (no corrections)	-38.8	eV/f.u.
energy of formation from the pure elements	-0.186	eV per atom
total magnetization	0.91	μB per formula unit


No. 12
A geometry-optimized TbYHf structure, computed with GGA-PBE.

Geometry as extended XYZ:
```
6
Lattice="-3.298 0.212 1.741 -1.748 -0.708 -3.225 0.498 -12.385 2.450" Properties=species:S:1:pos:R:3 pbc="T T T"
Tb -0.579 -7.689 -0.162
Tb -1.446 -4.943 1.869
Y -1.255 -9.713 2.813
Y -0.771 -2.920 -1.105
Hf -0.401 -12.106 0.712
Hf -1.624 -0.526 0.996
```

Values from the calculation:
total DFT energy (no corrections)	-20.7	eV/f.u.
energy of formation from the pure elements	0.130	eV per atom
total magnetization	0.00	μB per formula unit


No. 13
A geometry-optimized Pr8Ge3OsBr4 structure, computed with GGA-PBE.

Geometry as extended XYZ:
```
16
Lattice="8.659 0.000 0.000 0.000 8.963 0.210 -4.329 -4.326 6.127" Properties=species:S:1:pos:R:3 pbc="T T T"
Pr -2.261 2.096 6.140
Pr 0.000 4.355 2.942
Pr 0.000 0.285 3.262
Pr 2.261 2.096 6.140
Pr 2.069 2.541 0.196
Pr 4.329 4.352 3.075
Pr 4.329 0.282 3.394
Pr 6.590 2.541 0.196
Ge 4.329 4.481 0.105
Ge 2.165 2.318 3.168
Ge -2.165 2.318 3.168
Os 0.000 4.481 0.105
Br 4.329 0.000 0.000
Br 2.165 -2.163 3.063
Br 0.000 0.000 0.000
Br -2.165 -2.163 3.063
```

Values from the calculation:
total DFT energy (no corrections)	-86.4	eV/f.u.
total magnetization	0.00	μB per formula unit
E_form (uncorrected)	-1025	meV per atom


No. 14
A geometry-optimized Pa2Al5Pt4 structure, computed with GGA-PBE.

Geometry as extended XYZ:
```
11
Lattice="0.945 2.052 4.871 -1.918 -2.400 4.342 7.384 -3.486 2.996" Properties=species:S:1:pos:R:3 pbc="T T T"
Pa 2.534 1.015 5.000
Pa 5.795 -2.448 2.867
Al 0.472 1.026 2.435
Al -0.959 -1.200 2.171
Al -0.487 -0.174 4.607
Al 2.969 -2.430 4.887
Al 3.442 -1.403 7.322
Pt 5.275 -2.380 5.898
Pt 1.136 -1.453 6.311
Pt 1.514 -1.260 3.196
Pt 4.896 -2.574 9.013
```

Values from the calculation:
total DFT energy (no corrections)	-71.4	eV/f.u.
energy of formation from the pure elements	-0.869	eV per atom
total magnetization	0.00	μB per formula unit


No. 15
A geometry-optimized TaRe2Hg structure, computed with GGA-PBE.

Geometry as extended XYZ:
```
4
Lattice="4.981 0.000 0.000 1.663 4.695 0.000 -3.322 -2.347 2.874" Properties=species:S:1:pos:R:3 pbc="T T T"
Hg 2.490 0.000 1.437
Re 0.000 0.000 0.000
Re 3.322 2.347 0.000
Ta 0.832 2.347 1.437
```

Values from the calculation:
total DFT energy (no corrections)	-35.0	eV/f.u.
energy of formation from the pure elements	0.524	eV per atom
total magnetization	0.00	μB per formula unit


No. 16
A geometry-optimized TbY2Ge structure, computed with GGA-PBE.

Geometry as extended XYZ:
```
4
Lattice="3.689 0.000 0.000 1.844 3.194 0.000 1.844 1.065 9.966" Properties=species:S:1:pos:R:3 pbc="T T T"
Y 1.844 1.065 1.990
Y 5.533 3.194 7.976
Ge 0.000 0.000 0.000
Tb 3.689 2.130 4.983
```

Values from the calculation:
total DFT energy (no corrections)	-23.1	eV/f.u.
energy of formation from the pure elements	-0.232	eV per atom
total magnetization	0.00	μB per formula unit


No. 17
A geometry-optimized LiHRh structure, computed with GGA-PBE.

Geometry as extended XYZ:
```
3
Lattice="-2.730 -0.678 0.414 1.267 -0.644 -2.462 1.181 -3.780 1.597" Properties=species:S:1:pos:R:3 pbc="T T T"
H -0.945 -2.115 0.067
Rh 0.596 -2.771 -0.610
Li 0.068 -0.217 0.092
```

Values from the calculation:
total DFT energy (no corrections)	-13.5	eV/f.u.
total magnetization	0.24	μB per formula unit


No. 18
A geometry-optimized GaAg2 structure, computed with GGA-PBE.

Geometry as extended XYZ:
```
12
Lattice="-2.810 -2.341 -2.524 4.210 -8.331 3.039 -3.455 -0.256 4.084" Properties=species:S:1:pos:R:3 pbc="T T T"
Ga -0.908 -6.688 1.347
Ga -1.146 -4.240 3.252
Ga -2.246 -2.466 -1.079
Ga 0.192 -8.462 5.678
Ag -2.239 -4.402 0.709
Ag 0.185 -6.525 3.890
Ag 0.972 -8.485 0.921
Ag -3.026 -2.442 3.678
Ag -4.161 -2.281 0.881
Ag 2.107 -8.646 3.718
Ag -2.767 -6.499 3.241
Ag 0.712 -4.428 1.358
```

Values from the calculation:
total DFT energy (no corrections)	-8.4	eV/f.u.
energy of formation from the pure elements	0.095	eV per atom
total magnetization	0.00	μB per formula unit


No. 19
A geometry-optimized MnAgAu structure, computed with GGA-PBE.

Geometry as extended XYZ:
```
12
Lattice="5.880 0.000 -0.145 0.000 3.052 0.000 -2.987 0.000 11.572" Properties=species:S:1:pos:R:3 pbc="T T T"
Mn 4.740 0.000 4.255
Mn 3.247 1.526 10.041
Mn 4.799 0.000 0.598
Mn 3.306 1.526 6.384
Ag 1.932 0.000 4.517
Ag 0.438 1.526 10.303
Ag 1.715 0.000 8.179
Ag 3.209 1.526 2.393
Au -1.230 0.000 8.392
Au 0.264 1.526 2.606
Au 1.662 0.000 0.453
Au 0.168 1.526 6.240
```

Values from the calculation:
total DFT energy (no corrections)	-15.0	eV/f.u.
energy of formation from the pure elements	0.102	eV per atom
total magnetization	4.13	μB per formula unit


No. 20
A geometry-optimized Tb6Pm2YEr3 structure, computed with GGA-PBE.

Geometry as extended XYZ:
```
12
Lattice="6.170 0.002 0.010 -3.082 5.345 0.010 -1.043 -1.806 11.626" Properties=species:S:1:pos:R:3 pbc="T T T"
Tb 3.074 1.761 8.695
Tb 2.057 3.561 2.964
Tb -1.029 1.779 2.951
Tb -0.011 3.543 8.695
Tb -0.012 -0.021 8.682
Tb 2.055 -0.002 2.951
Pm 0.003 3.563 0.010
Pm 3.085 1.783 0.010
Y 0.000 0.000 0.000
Er -2.064 3.553 5.823
Er 4.109 -0.012 5.823
Er 1.022 1.770 5.823
```

Values from the calculation:
total DFT energy (no corrections)	-57.2	eV/f.u.
energy of formation from the pure elements	0.017	eV per atom
total magnetization	0.00	μB per formula unit